Entry from Alexandria: a geometry-optimized RbBr3Cl structure (PBE).

Unit cell a=8.0816 b=8.0816 c=8.0816 alpha=120.93 beta=120.93 gamma=88.39
Atoms (fractional coordinates):
Rb1 0.2500 0.7500 0.5000
Rb2 0.7500 0.2500 0.5000
Br1 0.2124 0.2124 0.0000
Br2 0.2767 0.2767 0.5533
Br3 0.2767 0.7233 0.0000
Br4 0.7233 0.2767 0.0000
Br5 0.7233 0.7233 0.4467
Br6 0.7876 0.7876 0.0000
Cl1 0.0000 0.0000 0.0000
Cl2 0.5000 0.5000 0.0000

Properties
Space group: I4/mmm (139)
Electronic total energy, eV/atom: -2.14
N(E_F), states/eV/f.u.: 0.0
ΔE_f (raw), eV/atom: -0.577